No. 1
First-principles (PBE) data for a geometry-optimized LaPuTlPb structure, as listed in Alexandria via LeMat-Bulk.

The formation energy comes out at -0.24 eV per atom.

The space group is F-43m (No. 216) and the conventional cell measures 7.865, 7.865 and 7.865 Å, with angles of 90.00, 90.00 and 90.00 degrees. The asymmetric unit holds La at (0.000, 0.000, 0.000), Pu at (0.000, 0.000, 0.500), Tl at (0.250, 0.250, 0.750) and Pb at (0.250, 0.250, 0.250).

No. 2
First-principles (PBE) data for a geometry-optimized ZnBPd5 structure, as listed in Alexandria via LeMat-Bulk.

The formation energy comes out at -0.09 eV per atom.

The space group is Imma (No. 74) and the conventional cell measures 6.951, 7.896 and 8.325 Å, with angles of 90.00, 90.00 and 90.00 degrees. The asymmetric unit holds Zn at (0.000, 0.250, 0.103), B at (0.000, 0.000, 0.500), Pd at (0.000, 0.080, 0.735), Pd at (0.000, 0.250, 0.412) and Pd at (0.206, 0.000, 0.000).

No. 3
First-principles (PBE) data for a geometry-optimized Li3BiSb structure, as listed in Alexandria via LeMat-Bulk.

The calculation puts the formation energy (no corrections) at -0.427 eV per atom.

The space group is P-1 (No. 2) and the conventional cell measures 4.585, 7.052 and 7.402 Å, with angles of 104.32, 90.07 and 90.00 degrees. The asymmetric unit holds Li at (0.249, 0.000, 0.259), Li at (0.250, 0.437, 0.343), Li at (0.251, 0.244, 0.666), Bi at (0.250, 0.643, 0.961) and Sb at (0.250, 0.805, 0.595).

No. 4
First-principles (PBE) data for a geometry-optimized TmBeZnCu6 structure, as listed in Alexandria via LeMat-Bulk.

The formation energy comes out at 0.10 eV per atom.

The space group is Imma (No. 74) and the conventional cell measures 6.220, 8.212 and 10.183 Å, with angles of 90.00, 90.00 and 90.00 degrees. The asymmetric unit holds Tm at (0.000, 0.250, 0.207), Be at (0.000, 0.000, 0.000), Zn at (0.250, 0.250, 0.750), Cu at (0.000, 0.250, 0.497), Cu at (0.000, 0.250, 0.934) and Cu at (0.200, 0.001, 0.379).

No. 5
First-principles (PBE) data for a geometry-optimized IrRh2 structure, as listed in Alexandria via LeMat-Bulk.

The formation energy comes out at 0.14 eV per atom.

The space group is I4_1/amd (No. 141, origin choice 2) and the conventional cell measures 2.714, 2.714 and 24.193 Å, with angles of 90.00, 90.00 and 90.00 degrees. The asymmetric unit holds Ir at (0.000, 0.250, 0.375) and Rh at (0.000, 0.250, 0.797).

No. 6
First-principles (PBE) data for a geometry-optimized CdBr4 structure, as listed in Alexandria via LeMat-Bulk.

The calculation puts the formation energy (no corrections) at -0.065 eV per atom.

The space group is Pm-3m (No. 221) and the conventional cell measures 5.505, 5.505 and 5.505 Å, with angles of 90.00, 90.00 and 90.00 degrees. The asymmetric unit holds Cd at (0.000, 0.000, 0.000), Br at (0.000, 0.000, 0.500) and Br at (0.500, 0.500, 0.500).

Please write out number 1 again, unchanged.
First-principles (PBE) data for a geometry-optimized LaPuTlPb structure, as listed in Alexandria via LeMat-Bulk.

The formation energy comes out at -0.24 eV per atom.

The space group is F-43m (No. 216) and the conventional cell measures 7.865, 7.865 and 7.865 Å, with angles of 90.00, 90.00 and 90.00 degrees. The asymmetric unit holds La at (0.000, 0.000, 0.000), Pu at (0.000, 0.000, 0.500), Tl at (0.250, 0.250, 0.750) and Pb at (0.250, 0.250, 0.250).